Computed, not measured: a relaxed structure of AcSnGe6Ir2 at the PBE-GGA level of DFT.

Output
Total magnetization = 0.000 μB/cell
Symmetry = R-3m
Total energy = -0.399 Ry per atom
DOS at the Fermi energy = 0.518 states/eV/atom

abc: 5.8170 5.8170 9.1068
angles: 71.37 71.37 60.00
Sites, in units of the cell vectors:
Ac1 0.0000 0.0000 0.0000
Sn1 0.5000 0.5000 0.5000
Ge1 0.0486 0.5924 0.7655
Ge2 0.5935 0.0486 0.7655
Ge3 0.4076 0.4065 0.2345
Ge4 0.9514 0.4076 0.2345
Ge5 0.4065 0.9514 0.2345
Ge6 0.5924 0.5935 0.7655
Ir1 0.6562 0.6562 0.0313
Ir2 0.3438 0.3438 0.9687

Computed, not measured: a relaxed structure of Ac2SnGe3Ir4 at the PBE-GGA level of DFT.

Output
Total magnetization = 0.000 μB/cell
Symmetry = P-4m2
Total energy = -0.503 Ry per atom
DOS at the Fermi energy = 0.730 states/eV/atom

abc: 4.3925 4.3925 10.6568
angles: 90.00 90.00 90.00
Sites, in units of the cell vectors:
Ac1 0.5000 0.0000 0.2468
Ac2 0.0000 0.5000 0.7532
Sn1 0.5000 0.5000 0.5000
Ge1 0.0000 0.0000 0.5000
Ge2 0.5000 0.0000 0.8757
Ge3 0.0000 0.5000 0.1243
Ir1 0.5000 0.5000 0.0000
Ir2 0.0000 0.0000 0.0000
Ir3 0.5000 0.0000 0.6393
Ir4 0.0000 0.5000 0.3607

Computed, not measured: a relaxed structure of SrAcGeIr at the PBE-GGA level of DFT.

Output
Total magnetization = 0.000 μB/cell
Symmetry = R3m
Total energy = -0.395 Ry per atom
DOS at the Fermi energy = 0.900 states/eV/atom

abc: 4.3647 4.3647 8.5351
angles: 75.19 75.19 60.00
Sites, in units of the cell vectors:
Sr1 0.0171 0.0171 0.9486
Ac1 0.8498 0.8498 0.4506
Ge1 0.6031 0.6031 0.1907
Ir1 0.2558 0.2558 0.2325

Computed, not measured: a relaxed structure of Ac2TaGe4Ir3 at the PBE-GGA level of DFT.

Output
Total magnetization = 0.000 μB/cell
Symmetry = P-4m2
Total energy = -0.525 Ry per atom
DOS at the Fermi energy = 0.561 states/eV/atom

abc: 4.3287 4.3287 10.8965
angles: 90.00 90.00 90.00
Sites, in units of the cell vectors:
Ac1 0.5000 0.0000 0.2402
Ac2 0.0000 0.5000 0.7598
Ta1 0.5000 0.5000 0.5000
Ge1 0.5000 0.5000 0.0000
Ge2 0.0000 0.0000 0.0000
Ge3 0.5000 0.0000 0.6410
Ge4 0.0000 0.5000 0.3590
Ir1 0.0000 0.0000 0.5000
Ir2 0.5000 0.0000 0.8795
Ir3 0.0000 0.5000 0.1205

Computed, not measured: a relaxed structure of Ac2TaGe3Ir4 at the PBE-GGA level of DFT.

Output
Total magnetization = 0.000 μB/cell
Symmetry = P-4m2
Total energy = -0.562 Ry per atom
DOS at the Fermi energy = 0.671 states/eV/atom

abc: 4.3263 4.3263 10.7613
angles: 90.00 90.00 90.00
Sites, in units of the cell vectors:
Ac1 0.5000 0.0000 0.2447
Ac2 0.0000 0.5000 0.7553
Ta1 0.5000 0.5000 0.5000
Ge1 0.0000 0.0000 0.5000
Ge2 0.5000 0.0000 0.8747
Ge3 0.0000 0.5000 0.1253
Ir1 0.5000 0.5000 0.0000
Ir2 0.0000 0.0000 0.0000
Ir3 0.5000 0.0000 0.6343
Ir4 0.0000 0.5000 0.3657

Computed, not measured: a relaxed structure of AcTbGeIr at the PBE-GGA level of DFT.

Output
Total magnetization = 0.000 μB/cell
Symmetry = P4/nmm
Total energy = -0.452 Ry per atom
Offset from the most stable computed form = 0.000 eV per atom
DOS at the Fermi energy = 0.651 states/eV/atom

abc: 4.7032 4.7032 10.2794
angles: 90.00 90.00 90.00
Sites, in units of the cell vectors:
Ac1 0.0000 0.5000 0.8143
Ac2 0.5000 0.0000 0.1857
Tb1 0.0000 0.0000 0.5000
Tb2 0.5000 0.5000 0.5000
Ge1 0.5000 0.0000 0.8878
Ge2 0.0000 0.5000 0.1122
Ir1 0.0000 0.5000 0.3442
Ir2 0.5000 0.0000 0.6558

Computed, not measured: a relaxed structure of AcTbGeIr at the PBE-GGA level of DFT.

Output
Total magnetization = 0.000 μB/cell
Symmetry = F-43m
Total energy = -0.445 Ry per atom
Offset from the most stable computed form = 0.094 eV per atom
DOS at the Fermi energy = 0.834 states/eV/atom

abc: 5.1977 5.1977 5.1977
angles: 60.00 60.00 60.00
Sites, in units of the cell vectors:
Ac1 0.7500 0.7500 0.7500
Ir1 0.0000 0.0000 0.0000
Tb1 0.2500 0.2500 0.2500
Ge1 0.5000 0.5000 0.5000

Computed, not measured: a relaxed structure of Ac2TbGe4Ir3 at the PBE-GGA level of DFT.

Output
Total magnetization = 0.000 μB/cell
Symmetry = P-4m2
Total energy = -0.478 Ry per atom
DOS at the Fermi energy = 0.550 states/eV/atom

abc: 4.4040 4.4040 11.2044
angles: 90.00 90.00 90.00
Sites, in units of the cell vectors:
Ac1 0.5000 0.0000 0.2300
Ac2 0.0000 0.5000 0.7700
Tb1 0.5000 0.5000 0.5000
Ge1 0.5000 0.5000 0.0000
Ge2 0.0000 0.0000 0.0000
Ge3 0.5000 0.0000 0.6627
Ge4 0.0000 0.5000 0.3373
Ir1 0.0000 0.0000 0.5000
Ir2 0.5000 0.0000 0.8868
Ir3 0.0000 0.5000 0.1132

Computed, not measured: a relaxed structure of Ac2TbGe3Ir4 at the PBE-GGA level of DFT.

Output
Total magnetization = 0.000 μB/cell
Symmetry = P-4m2
Total energy = -0.513 Ry per atom
DOS at the Fermi energy = 0.561 states/eV/atom

abc: 4.3011 4.3011 11.3731
angles: 90.00 90.00 90.00
Sites, in units of the cell vectors:
Ac1 0.5000 0.0000 0.2356
Ac2 0.0000 0.5000 0.7644
Tb1 0.5000 0.5000 0.5000
Ge1 0.0000 0.0000 0.5000
Ge2 0.5000 0.0000 0.8819
Ge3 0.0000 0.5000 0.1181
Ir1 0.5000 0.5000 0.0000
Ir2 0.0000 0.0000 0.0000
Ir3 0.5000 0.0000 0.6589
Ir4 0.0000 0.5000 0.3411

Computed, not measured: a relaxed structure of AcTcGe3Ir at the PBE-GGA level of DFT.

Output
Total magnetization = 0.000 μB/cell
Symmetry = Cmcm
Total energy = -0.478 Ry per atom
DOS at the Fermi energy = 0.692 states/eV/atom

abc: 6.3933 6.6396 7.0649
angles: 118.03 90.00 90.00
Sites, in units of the cell vectors:
Ac1 0.7500 0.2443 0.4886
Ac2 0.2500 0.7557 0.5114
Tc1 0.2500 0.0270 0.0541
Tc2 0.7500 0.9730 0.9459
Ge1 0.2500 0.2117 0.4233
Ge2 0.0000 0.2871 0.0000
Ge3 0.5000 0.7129 0.0000
Ge4 0.5000 0.2871 0.0000
Ge5 0.0000 0.7129 0.0000
Ge6 0.7500 0.7883 0.5767
Ir1 0.2500 0.3974 0.7948
Ir2 0.7500 0.6026 0.2052

Computed, not measured: a relaxed structure of Ac6GeTe3Ir2 at the PBE-GGA level of DFT.

Output
Total magnetization = 0.000 μB/cell
Symmetry = C2/m
Total energy = -0.428 Ry per atom
Formation energy (no corrections) = -13.5 eV/f.u.
DOS at the Fermi energy = 0.716 states/eV/atom

abc: 7.7988 7.7988 8.3606
angles: 99.04 99.04 120.05
Sites, in units of the cell vectors:
Ac1 0.9297 0.5820 0.7865
Ac2 0.7235 0.7235 0.2116
Ac3 0.0703 0.4180 0.2135
Ac4 0.5820 0.9297 0.7865
Ac5 0.2765 0.2765 0.7884
Ac6 0.4180 0.0703 0.2135
Ge1 0.0000 0.0000 0.0000
Te1 0.1616 0.8384 0.5000
Te2 0.8384 0.1616 0.5000
Te3 0.5000 0.5000 0.5000
Ir1 0.3328 0.6672 0.0000
Ir2 0.6672 0.3328 0.0000

Computed, not measured: a relaxed structure of Ac8Ge3Te4Ir at the PBE-GGA level of DFT.

Output
Total magnetization = 0.000 μB/cell
Symmetry = R-3m
Total energy = -0.399 Ry per atom
Formation energy (no corrections) = -18.6 eV/f.u.
DOS at the Fermi energy = 0.391 states/eV/atom

abc: 9.2115 9.4631 9.2128
angles: 119.14 120.00 90.00
Sites, in units of the cell vectors:
Ac1 0.2347 0.7160 0.9813
Ac2 0.2350 0.7163 0.4700
Ac3 0.2577 0.2731 0.5153
Ac4 0.7467 0.7160 0.9813
Ac5 0.2533 0.2840 0.0187
Ac6 0.7423 0.7269 0.4847
Ac7 0.7650 0.2837 0.5300
Ac8 0.7653 0.2840 0.0187
Ge1 0.5000 0.5000 0.0000
Ge2 0.5000 0.5000 0.5000
Ge3 0.0000 0.5000 0.5000
Te1 0.5000 0.0000 0.0000
Te2 0.5000 0.0000 0.5000
Te3 0.0000 0.0000 0.0000
Te4 0.0000 0.0000 0.5000
Ir1 0.0000 0.5000 0.0000

Computed, not measured: a relaxed structure of Ac6Ge2Te3Ir at the PBE-GGA level of DFT.

Output
Total magnetization = 0.000 μB/cell
Symmetry = C2/m
Total energy = -0.404 Ry per atom
Formation energy (no corrections) = -13.9 eV/f.u.
DOS at the Fermi energy = 0.561 states/eV/atom

abc: 7.9340 7.9340 8.2867
angles: 99.21 99.21 119.95
Sites, in units of the cell vectors:
Ac1 0.9278 0.6062 0.7834
Ac2 0.7520 0.7520 0.2193
Ac3 0.0722 0.3938 0.2166
Ac4 0.6062 0.9278 0.7834
Ac5 0.2480 0.2480 0.7807
Ac6 0.3938 0.0722 0.2166
Ge1 0.3343 0.6657 0.0000
Ge2 0.6657 0.3343 0.0000
Te1 0.1719 0.8281 0.5000
Te2 0.8281 0.1719 0.5000
Te3 0.5000 0.5000 0.5000
Ir1 0.0000 0.0000 0.0000

Computed, not measured: a relaxed structure of AcThGeIr at the PBE-GGA level of DFT.

Output
Total magnetization = 0.000 μB/cell
Symmetry = F-43m
Total energy = -0.493 Ry per atom
DOS at the Fermi energy = 0.936 states/eV/atom

abc: 5.2551 5.2551 5.2551
angles: 60.00 60.00 60.00
Sites, in units of the cell vectors:
Ac1 0.5000 0.5000 0.5000
Ir1 0.7500 0.7500 0.7500
Ge1 0.2500 0.2500 0.2500
Th1 0.0000 0.0000 0.0000

Computed, not measured: a relaxed structure of Ac2TmGe3Ir4 at the PBE-GGA level of DFT.

Output
Total magnetization = 0.000 μB/cell
Symmetry = P-4m2
Total energy = -0.513 Ry per atom
DOS at the Fermi energy = 0.574 states/eV/atom

abc: 4.2947 4.2947 11.2952
angles: 90.00 90.00 90.00
Sites, in units of the cell vectors:
Ac1 0.5000 0.0000 0.2374
Ac2 0.0000 0.5000 0.7626
Tm1 0.5000 0.5000 0.5000
Ge1 0.0000 0.0000 0.5000
Ge2 0.5000 0.0000 0.8808
Ge3 0.0000 0.5000 0.1192
Ir1 0.5000 0.5000 0.0000
Ir2 0.0000 0.0000 0.0000
Ir3 0.5000 0.0000 0.6549
Ir4 0.0000 0.5000 0.3451

Computed, not measured: a relaxed structure of AcTmGeIr at the PBE-GGA level of DFT.

Output
Total magnetization = 0.000 μB/cell
Symmetry = F-43m
Total energy = -0.442 Ry per atom
DOS at the Fermi energy = 0.869 states/eV/atom

abc: 5.1582 5.1582 5.1582
angles: 60.00 60.00 60.00
Sites, in units of the cell vectors:
Ac1 0.5000 0.5000 0.5000
Ir1 0.7500 0.7500 0.7500
Tm1 0.0000 0.0000 0.0000
Ge1 0.2500 0.2500 0.2500

Computed, not measured: a relaxed structure of Ac2VGe3Ir4 at the PBE-GGA level of DFT.

Output
Total magnetization = 0.932 μB/cell
Symmetry = P-4m2
Total energy = -0.540 Ry per atom
DOS at the Fermi energy = 0.625 states/eV/atom

abc: 4.2964 4.2964 10.6250
angles: 90.00 90.00 90.00
Site moments in Bohr magnetons follow the coordinates.
Sites, in units of the cell vectors:
Ac1 0.5000 0.0000 0.2520  0.03
Ac2 0.0000 0.5000 0.7480  0.03
V1 0.5000 0.5000 0.5000  0.70
Ge1 0.0000 0.0000 0.5000  -0.01
Ge2 0.5000 0.0000 0.8732  0.00
Ge3 0.0000 0.5000 0.1268  0.00
Ir1 0.5000 0.5000 0.0000  0.02
Ir2 0.0000 0.0000 0.0000  0.01
Ir3 0.5000 0.0000 0.6286  -0.01
Ir4 0.0000 0.5000 0.3714  -0.01

Computed, not measured: a relaxed structure of Ac2YGe3Ir4 at the PBE-GGA level of DFT.

Output
Total magnetization = 0.000 μB/cell
Symmetry = P-4m2
Total energy = -0.526 Ry per atom
DOS at the Fermi energy = 0.545 states/eV/atom

abc: 4.2952 4.2952 11.3955
angles: 90.00 90.00 90.00
Sites, in units of the cell vectors:
Ac1 0.5000 0.0000 0.2358
Ac2 0.0000 0.5000 0.7642
Y1 0.5000 0.5000 0.5000
Ge1 0.0000 0.0000 0.5000
Ge2 0.5000 0.0000 0.8821
Ge3 0.0000 0.5000 0.1179
Ir1 0.5000 0.5000 0.0000
Ir2 0.0000 0.0000 0.0000
Ir3 0.5000 0.0000 0.6596
Ir4 0.0000 0.5000 0.3404

Computed, not measured: a relaxed structure of AcZnGe2Ir at the PBE-GGA level of DFT.

Output
Total magnetization = 0.000 μB/cell
Symmetry = I-4m2
Total energy = -0.384 Ry per atom
DOS at the Fermi energy = 0.626 states/eV/atom

abc: 4.3252 4.3252 6.2536
angles: 110.23 110.23 90.00
Sites, in units of the cell vectors:
Ac1 0.0000 0.0000 0.0000
Zn1 0.2500 0.7500 0.5000
Ge1 0.6253 0.6253 0.2507
Ge2 0.3747 0.3747 0.7493
Ir1 0.7500 0.2500 0.5000

Computed, not measured: a relaxed structure of Ac2ZnGe3Ir4 at the PBE-GGA level of DFT.

Output
Total magnetization = 0.000 μB/cell
Symmetry = P-4m2
Total energy = -0.483 Ry per atom
DOS at the Fermi energy = 0.672 states/eV/atom

abc: 4.3189 4.3189 10.5958
angles: 90.00 90.00 90.00
Sites, in units of the cell vectors:
Ac1 0.5000 0.0000 0.2544
Ac2 0.0000 0.5000 0.7456
Zn1 0.5000 0.5000 0.5000
Ge1 0.0000 0.0000 0.5000
Ge2 0.5000 0.0000 0.8741
Ge3 0.0000 0.5000 0.1259
Ir1 0.5000 0.5000 0.0000
Ir2 0.0000 0.0000 0.0000
Ir3 0.5000 0.0000 0.6334
Ir4 0.0000 0.5000 0.3666

Computed, not measured: a relaxed structure of AcZn2GeIr at the PBE-GGA level of DFT.

Output
Total magnetization = 0.000 μB/cell
Symmetry = Imm2
Total energy = -0.326 Ry per atom
DOS at the Fermi energy = 0.866 states/eV/atom

abc: 4.3005 4.3556 6.2361
angles: 110.44 110.17 90.00
Sites, in units of the cell vectors:
Ac1 0.4412 0.4412 0.8824
Zn1 0.6900 0.1900 0.3799
Zn2 0.0669 0.0669 0.1339
Ge1 0.8174 0.8174 0.6347
Ir1 0.1967 0.6967 0.3933

Computed, not measured: a relaxed structure of Ac2ZrGe3Ir4 at the PBE-GGA level of DFT.

Output
Total magnetization = 0.000 μB/cell
Symmetry = P-4m2
Total energy = -0.543 Ry per atom
DOS at the Fermi energy = 0.398 states/eV/atom

abc: 4.2995 4.2995 11.0956
angles: 90.00 90.00 90.00
Sites, in units of the cell vectors:
Ac1 0.5000 0.0000 0.2400
Ac2 0.0000 0.5000 0.7600
Zr1 0.5000 0.5000 0.5000
Ge1 0.0000 0.0000 0.5000
Ge2 0.5000 0.0000 0.8784
Ge3 0.0000 0.5000 0.1216
Ir1 0.5000 0.5000 0.0000
Ir2 0.0000 0.0000 0.0000
Ir3 0.5000 0.0000 0.6462
Ir4 0.0000 0.5000 0.3538

Computed, not measured: a relaxed structure of KAcGe2 at the PBE-GGA level of DFT.

Output
Total magnetization = 0.000 μB/cell
Symmetry = P4/mmm
Total energy = -0.288 Ry per atom
Offset from the most stable computed form = 0.153 eV per atom
DOS at the Fermi energy = 0.472 states/eV/atom

abc: 4.2854 4.2854 7.5895
angles: 90.00 90.00 90.00
Sites, in units of the cell vectors:
K1 0.5000 0.5000 0.5000
Ac1 0.5000 0.5000 0.0000
Ge1 0.0000 0.0000 0.8321
Ge2 0.0000 0.0000 0.1679